No. 1
First-principles (PBE with a Hubbard U) data for a geometry-optimized CsTbNiF6 structure, as listed in Alexandria via LeMat-Bulk.

The final energy comes out at -5.328 eV per atom. As for the space group: Imma (74).

Cell and atoms, written as CIF:
```
data_CsTbNiF6
_chemical_formula_sum 'Cs2 Tb2 Ni2 F12'
_cell_length_a 7.8127
_cell_length_b 7.8127
_cell_length_c 7.8127
_cell_angle_alpha 120.85
_cell_angle_beta 117.18
_cell_angle_gamma 91.74
_symmetry_space_group_name_H-M 'P 1'
_symmetry_Int_Tables_number 1
_symmetry_space_group_name_Hall 'P 1'
loop_
_atom_site_label
_atom_site_type_symbol
_atom_site_fract_x
_atom_site_fract_y
_atom_site_fract_z
Cs1 Cs 0.3242 0.0742 0.2500
Cs2 Cs 0.6758 0.9258 0.7500
Tb1 Tb 0.0000 0.5000 0.5000
Tb2 Tb 0.5000 0.5000 0.0000
Ni1 Ni 0.0000 0.0000 0.5000
Ni2 Ni 0.0000 0.5000 0.0000
F1 F 0.0447 0.7947 0.2500
F2 F 0.0474 0.4048 0.2132
F3 F 0.0474 0.8342 0.6426
F4 F 0.3083 0.1658 0.7132
F5 F 0.3083 0.5952 0.1426
F6 F 0.3349 0.5849 0.7500
F7 F 0.6651 0.4151 0.2500
F8 F 0.6917 0.4048 0.8574
F9 F 0.6917 0.8342 0.2868
F10 F 0.9526 0.1658 0.3574
F11 F 0.9526 0.5952 0.7868
F12 F 0.9553 0.2053 0.7500
```

---

No. 2
First-principles (PBE with a Hubbard U) data for a geometry-optimized Cs2TbNi3F12 structure, as listed in Alexandria via LeMat-Bulk.

The final energy comes out at -4.711 eV per atom. As for the space group: R-3m (166).

Cell and atoms, written as CIF:
```
data_Cs2TbNi3F12
_chemical_formula_sum 'Cs2 Tb1 Ni3 F12'
_cell_length_a 7.6295
_cell_length_b 7.6295
_cell_length_c 7.6295
_cell_angle_alpha 58.01
_cell_angle_beta 58.01
_cell_angle_gamma 58.01
_symmetry_space_group_name_H-M 'P 1'
_symmetry_Int_Tables_number 1
_symmetry_space_group_name_Hall 'P 1'
loop_
_atom_site_label
_atom_site_type_symbol
_atom_site_fract_x
_atom_site_fract_y
_atom_site_fract_z
Cs1 Cs 0.1130 0.1130 0.1130
Cs2 Cs 0.8870 0.8870 0.8870
Tb1 Tb 0.5000 0.5000 0.5000
Ni1 Ni 0.0000 0.5000 0.5000
Ni2 Ni 0.5000 0.0000 0.5000
Ni3 Ni 0.5000 0.5000 0.0000
F1 F 0.1460 0.5861 0.5861
F2 F 0.1951 0.1951 0.5816
F3 F 0.1951 0.5816 0.1951
F4 F 0.4139 0.4139 0.8540
F5 F 0.4139 0.8540 0.4139
F6 F 0.4184 0.8049 0.8049
F7 F 0.5816 0.1951 0.1951
F8 F 0.5861 0.1460 0.5861
F9 F 0.5861 0.5861 0.1460
F10 F 0.8049 0.4184 0.8049
F11 F 0.8049 0.8049 0.4184
F12 F 0.8540 0.4139 0.4139
```

---

No. 3
First-principles (PBE with a Hubbard U) data for a geometry-optimized Cs2NiTeF6 structure, as listed in Alexandria via LeMat-Bulk.

The final energy comes out at -3.959 eV per atom. As for the space group: I4/mmm (139).

Cell and atoms, written as CIF:
```
data_Cs2NiTeF6
_chemical_formula_sum 'Cs2 Ni1 Te1 F6'
_cell_length_a 6.4271
_cell_length_b 6.4271
_cell_length_c 6.4271
_cell_angle_alpha 116.41
_cell_angle_beta 116.41
_cell_angle_gamma 96.34
_symmetry_space_group_name_H-M 'P 1'
_symmetry_Int_Tables_number 1
_symmetry_space_group_name_Hall 'P 1'
loop_
_atom_site_label
_atom_site_type_symbol
_atom_site_fract_x
_atom_site_fract_y
_atom_site_fract_z
Cs1 Cs 0.2500 0.7500 0.5000
Cs2 Cs 0.7500 0.2500 0.5000
Ni1 Ni 0.0000 0.0000 0.0000
Te1 Te 0.5000 0.5000 0.0000
F1 F 0.2097 0.2097 0.4194
F2 F 0.2097 0.7903 0.0000
F3 F 0.2547 0.2547 0.0000
F4 F 0.7453 0.7453 0.0000
F5 F 0.7903 0.2097 0.0000
F6 F 0.7903 0.7903 0.5806
```

---

No. 4
First-principles (PBE with a Hubbard U) data for a geometry-optimized CsTiNiF6 structure, as listed in Alexandria via LeMat-Bulk.

The final energy comes out at -5.381 eV per atom. As for the space group: Imma (74).

Cell and atoms, written as CIF:
```
data_CsTiNiF6
_chemical_formula_sum 'Cs2 Ti2 Ni2 F12'
_cell_length_a 7.4771
_cell_length_b 7.4771
_cell_length_c 7.4771
_cell_angle_alpha 120.73
_cell_angle_beta 118.98
_cell_angle_gamma 90.26
_symmetry_space_group_name_H-M 'P 1'
_symmetry_Int_Tables_number 1
_symmetry_space_group_name_Hall 'P 1'
loop_
_atom_site_label
_atom_site_type_symbol
_atom_site_fract_x
_atom_site_fract_y
_atom_site_fract_z
Cs1 Cs 0.3640 0.1140 0.2500
Cs2 Cs 0.6360 0.8860 0.7500
Ti1 Ti 0.0000 0.5000 0.5000
Ti2 Ti 0.5000 0.5000 0.0000
Ni1 Ni 0.0000 0.0000 0.5000
Ni2 Ni 0.0000 0.5000 0.0000
F1 F 0.0707 0.4318 0.2550
F2 F 0.0707 0.8157 0.6390
F3 F 0.0709 0.8209 0.2500
F4 F 0.3111 0.5611 0.7500
F5 F 0.3233 0.1843 0.7550
F6 F 0.3233 0.5682 0.1390
F7 F 0.6767 0.4318 0.8610
F8 F 0.6767 0.8157 0.2450
F9 F 0.6889 0.4389 0.2500
F10 F 0.9291 0.1791 0.7500
F11 F 0.9293 0.1843 0.3610
F12 F 0.9293 0.5682 0.7450
```

---

No. 5
First-principles (PBE with a Hubbard U) data for a geometry-optimized Cs2TlNi2F7 structure, as listed in Alexandria via LeMat-Bulk.

The final energy comes out at -4.159 eV per atom. As for the space group: I4/mmm (139).

Cell and atoms, written as CIF:
```
data_Cs2TlNi2F7
_chemical_formula_sum 'Cs2 Tl1 Ni2 F7'
_cell_length_a 11.9352
_cell_length_b 11.9352
_cell_length_c 11.9352
_cell_angle_alpha 159.67
_cell_angle_beta 159.67
_cell_angle_gamma 28.90
_symmetry_space_group_name_H-M 'P 1'
_symmetry_Int_Tables_number 1
_symmetry_space_group_name_Hall 'P 1'
loop_
_atom_site_label
_atom_site_type_symbol
_atom_site_fract_x
_atom_site_fract_y
_atom_site_fract_z
Cs1 Cs 0.1845 0.1845 0.0000
Cs2 Cs 0.8155 0.8155 0.0000
Tl1 Tl 0.0000 0.0000 0.0000
Ni1 Ni 0.4112 0.4112 0.0000
Ni2 Ni 0.5888 0.5888 0.0000
F1 F 0.0894 0.5894 0.5000
F2 F 0.3241 0.3241 0.0000
F3 F 0.4106 0.9106 0.5000
F4 F 0.5000 0.5000 0.0000
F5 F 0.5894 0.0894 0.5000
F6 F 0.6759 0.6759 0.0000
F7 F 0.9106 0.4106 0.5000
```

---

No. 6
First-principles (PBE with a Hubbard U) data for a geometry-optimized CsTl2NiF6 structure, as listed in Alexandria via LeMat-Bulk.

The final energy comes out at -3.978 eV per atom. As for the space group: P2_1/c (14).

Cell and atoms, written as CIF:
```
data_CsTl2NiF6
_chemical_formula_sum 'Cs2 Tl4 Ni2 F12'
_cell_length_a 6.0006
_cell_length_b 7.0137
_cell_length_c 10.7273
_cell_angle_alpha 90.00
_cell_angle_beta 123.97
_cell_angle_gamma 90.00
_symmetry_space_group_name_H-M 'P 1'
_symmetry_Int_Tables_number 1
_symmetry_space_group_name_Hall 'P 1'
loop_
_atom_site_label
_atom_site_type_symbol
_atom_site_fract_x
_atom_site_fract_y
_atom_site_fract_z
Cs1 Cs 0.0000 0.0000 0.0000
Cs2 Cs 0.0000 0.5000 0.5000
Tl1 Tl 0.2265 0.0006 0.7267
Tl2 Tl 0.2265 0.4994 0.2267
Tl3 Tl 0.7735 0.5006 0.7733
Tl4 Tl 0.7735 0.9994 0.2733
Ni1 Ni 0.5000 0.0000 0.5000
Ni2 Ni 0.5000 0.5000 0.0000
F1 F 0.2001 0.6743 0.8368
F2 F 0.2001 0.8257 0.3368
F3 F 0.2017 0.1344 0.4996
F4 F 0.2017 0.3656 0.9996
F5 F 0.4730 0.1729 0.3359
F6 F 0.4730 0.3271 0.8359
F7 F 0.5270 0.6729 0.1641
F8 F 0.5270 0.8271 0.6641
F9 F 0.7983 0.6344 0.0004
F10 F 0.7983 0.8656 0.5004
F11 F 0.7999 0.1743 0.6632
F12 F 0.7999 0.3257 0.1632
```